[1]
A relaxed structure of SrBe2Cu, computed with PBE.

Unit cell a=4.235 b=4.059 c=4.657 alpha=90.00 beta=90.13 gamma=90.00
Fractional positions:
Sr (0.000, 0.000, 0.000)
Be (0.256, 0.500, 0.500)
Be (0.744, 0.500, 0.500)
Cu (0.500, 0.000, 0.500)

Output
The calculation puts the formation energy at 276.4 meV/atom. The density of states at the Fermi level is 2.8 states/eV/cell. The calculation puts the offset from the most stable computed form at 0.235 eV per atom.

[2]
A relaxed structure of Li17Zn11Au, computed with PBE.

Unit cell a=8.515 b=8.515 c=8.410 alpha=109.40 beta=109.40 gamma=109.67
Fractional positions:
Li (0.000, 0.000, 0.000)
Li (0.036, 0.036, 0.627)
Li (0.089, 0.367, 0.268)
Li (0.091, 0.679, 0.955)
Li (0.264, 0.264, 0.535)
Li (0.269, 0.959, 0.861)
Li (0.326, 0.673, 0.267)
Li (0.362, 0.682, 0.681)
Li (0.367, 0.089, 0.268)
Li (0.400, 0.988, 0.576)
Li (0.673, 0.326, 0.267)
Li (0.678, 0.678, 0.268)
Li (0.679, 0.091, 0.955)
Li (0.679, 0.679, 0.907)
Li (0.682, 0.362, 0.681)
Li (0.959, 0.269, 0.861)
Li (0.988, 0.400, 0.576)
Zn (0.047, 0.864, 0.266)
Zn (0.048, 0.680, 0.457)
Zn (0.306, 0.494, 0.888)
Zn (0.492, 0.860, 0.082)
Zn (0.494, 0.306, 0.888)
Zn (0.495, 0.495, 0.463)
Zn (0.680, 0.048, 0.457)
Zn (0.681, 0.867, 0.642)
Zn (0.860, 0.492, 0.082)
Zn (0.864, 0.047, 0.266)
Zn (0.867, 0.681, 0.642)
Au (0.307, 0.307, 0.086)

Output
The calculation puts the formation energy at -183.6 meV/atom. The density of states at the Fermi level is 15.0 states/eV/cell.

[3]
A relaxed structure of YRu2W, computed with PBE.

Unit cell a=2.878 b=2.878 c=28.780 alpha=90.00 beta=90.00 gamma=120.00
Fractional positions:
Y (0.000, 0.000, 0.000)
Y (0.333, 0.667, 0.667)
Y (0.667, 0.333, 0.333)
Ru (0.000, 0.000, 0.496)
Ru (0.000, 0.000, 0.756)
Ru (0.333, 0.667, 0.163)
Ru (0.333, 0.667, 0.423)
Ru (0.667, 0.333, 0.089)
Ru (0.667, 0.333, 0.829)
W (0.000, 0.000, 0.238)
W (0.333, 0.667, 0.904)
W (0.667, 0.333, 0.571)

Output
The calculation puts the formation energy at 526.1 meV/atom. The density of states at the Fermi level is 15.3 states/eV/cell. The calculation puts the offset from the most stable computed form at 0.610 eV per atom.

[4]
A relaxed structure of KSrTl2F8, computed with PBE.

Unit cell a=7.024 b=7.024 c=7.024 alpha=130.60 beta=130.60 gamma=72.45
Fractional positions:
K (0.000, 0.000, 0.000)
Sr (0.750, 0.250, 0.500)
Tl (0.250, 0.750, 0.500)
Tl (0.500, 0.500, 0.000)
F (0.149, 0.145, 0.544)
F (0.149, 0.605, 0.004)
F (0.395, 0.399, 0.544)
F (0.395, 0.851, 0.996)
F (0.601, 0.145, 0.996)
F (0.601, 0.605, 0.456)
F (0.855, 0.399, 0.004)
F (0.855, 0.851, 0.456)

Output
Its energy relative to the elements, uncorrected is -2499.1 meV/atom. The density of states at the Fermi level is 3.3 states/eV/cell.

[5]
A relaxed structure of RbIn2F, computed with PBE.

Unit cell a=5.477 b=5.477 c=18.866 alpha=90.00 beta=90.00 gamma=90.00
Fractional positions:
Rb (0.000, 0.000, 0.000)
Rb (0.000, 0.500, 0.250)
Rb (0.500, 0.000, 0.750)
Rb (0.500, 0.500, 0.500)
In (0.087, 0.250, 0.625)
In (0.250, 0.587, 0.875)
In (0.250, 0.913, 0.375)
In (0.413, 0.250, 0.125)
In (0.587, 0.750, 0.125)
In (0.750, 0.087, 0.375)
In (0.750, 0.413, 0.875)
In (0.913, 0.750, 0.625)
F (0.000, 0.000, 0.500)
F (0.000, 0.500, 0.750)
F (0.500, 0.000, 0.250)
F (0.500, 0.500, 0.000)

Output
Its energy relative to the elements, uncorrected is -725.3 meV/atom. The density of states at the Fermi level is 6.4 states/eV/cell. The calculation puts the offset from the most stable computed form at 0.000 eV per atom.

[6]
A relaxed structure of TaGa2BiO, computed with PBE.

Unit cell a=5.092 b=5.092 c=5.374 alpha=90.00 beta=90.00 gamma=90.00
Fractional positions:
Ta (0.000, 0.000, 0.000)
Ga (0.000, 0.500, 0.000)
Ga (0.500, 0.000, 0.000)
Bi (0.000, 0.000, 0.500)
O (0.500, 0.500, 0.500)

Output
Its energy relative to the elements, uncorrected is 930.7 meV/atom. The density of states at the Fermi level is 17.6 states/eV/cell. The calculation puts the offset from the most stable computed form at 1.273 eV per atom.